Record 1
This record from the Alexandria database describes VAs2I after structural relaxation. The functional is PBE.

Lattice parameters (Å, degrees): 3.208 3.208 12.745 82.77 82.77 60.00
Atoms (fractional coordinates):
I (0.000, 0.000, 0.000)
V (0.500, 0.500, 0.500)
As (0.121, 0.121, 0.638)
As (0.879, 0.879, 0.362)

## Properties
For the density of states at the Fermi level, the calculation gives 0.59 states/eV/atom. The calculation puts the magnetic moment at 0.0 μB per formula unit. For the energy above the most stable polymorph in this dataset, the calculation gives 0.000 eV per atom. Its uncorrected energy is -4.935 eV/atom. The space group is R-3m.

***

Record 2
This record from the Alexandria database describes SrAg2C2O6 after structural relaxation. The functional is PBE.

Lattice parameters (Å, degrees): 5.485 5.485 6.639 90.00 90.00 120.00
Atoms (fractional coordinates):
O (0.587, 0.883, 0.773)
O (0.705, 0.587, 0.227)
O (0.413, 0.117, 0.227)
O (0.117, 0.705, 0.773)
O (0.883, 0.295, 0.227)
O (0.295, 0.413, 0.773)
Ag (0.667, 0.333, 0.719)
Ag (0.333, 0.667, 0.281)
Sr (0.000, 0.000, 0.000)
C (0.667, 0.333, 0.228)
C (0.333, 0.667, 0.772)

## Properties
For the density of states at the Fermi level, the calculation gives 0.00 states/eV/atom. The calculation puts the magnetic moment at 0.0 μB per formula unit. Its uncorrected energy is -6.436 eV/atom. The space group is P-3.